Sm6YTm3Sc2: relaxed, PBE-GGA.

Values from the calculation:
As for the symmetry: C2/m. For the total magnetization, the calculation gives 0.0 Bohr magnetons per cell. The formation energy is 0.8 kcal/mol of atoms.

a = 6.1304 Å, b = 6.1304 Å, c = 11.5547 Å
α = 95.06°, β = 95.06°, γ = 119.97°
Positions (direct):
Y 0.0000 0.0000 0.0000
Tm 0.8332 0.1668 0.5000
Tm 0.5000 0.5000 0.5000
Tm 0.1668 0.8332 0.5000
Sm 0.2546 0.2546 0.7535
Sm 0.9176 0.5805 0.7537
Sm 0.5805 0.9176 0.7537
Sm 0.7454 0.7454 0.2465
Sm 0.4195 0.0824 0.2463
Sm 0.0824 0.4195 0.2463
Sc 0.3334 0.6666 0.0000
Sc 0.6666 0.3334 0.0000

HfZrBr2O: relaxed, PBE-GGA.

Values from the calculation:
As for the symmetry: P4/mmm. For the total magnetization, the calculation gives 2.3 Bohr magnetons per cell. For the raw formation energy, the calculation gives -763.0 meV/atom.

a = 5.4916 Å, b = 3.8896 Å, c = 5.4916 Å
α = 90.00°, β = 90.00°, γ = 90.00°
Site moments in Bohr magnetons follow the coordinates.
Positions (direct):
Br 0.5000 0.0000 0.0000  -0.01
Br 0.0000 0.0000 0.5000  0.01
O 0.0000 0.5000 0.0000  0.04
Zr 0.5000 0.5000 0.5000  1.51
Hf 0.0000 0.0000 0.0000  -0.21

Cd2CuOs: relaxed, PBE-GGA.

Values from the calculation:
As for the symmetry: Pm. For the total magnetization, the calculation gives 0.0 Bohr magnetons per cell. The formation energy is 10.7 kcal/mol of atoms.

a = 4.5283 Å, b = 2.7840 Å, c = 5.5569 Å
α = 76.57°, β = 90.00°, γ = 90.00°
Positions (direct):
Cu 0.0000 0.6782 0.5028
Os 0.5000 0.5680 0.7516
Cd 0.5000 0.2873 0.2852
Cd 0.0000 0.9666 0.9604

Ho2MgC: relaxed, PBE-GGA.

Values from the calculation:
As for the symmetry: Amm2. For the total magnetization, the calculation gives 0.0 Bohr magnetons per cell. The formation energy is 0.5 kcal/mol of atoms.

a = 3.5018 Å, b = 3.5018 Å, c = 8.6716 Å
α = 90.00°, β = 90.00°, γ = 120.03°
Positions (direct):
C 0.1335 0.8665 0.5000
Ho 0.4668 0.5332 0.3350
Ho 0.4668 0.5332 0.6650
Mg 0.7989 0.2011 0.0000